Entry from the Alexandria database: a geometry-optimized Nd2CdIr structure (GGA-PBE).

Results
Relative energy among the computed polymorphs ... 0.13 eV/f.u.
VASP energy ... -21.20 eV per cell
Formation energy ... -0.4718 eV per atom
Crystal system ... tetragonal

Lattice parameters (Å, degrees): 3.6359 3.6359 7.7512 90.00 90.00 90.00
Last column: nearest neighbours and their distance in Å.
Positions (direct):
Nd 0.0000 0.0000 0.2165  4 Ir 3.07, 1 Nd 3.36, 4 Cd 3.38
Nd 0.0000 0.0000 0.7835  4 Ir 3.07, 1 Nd 3.36, 4 Cd 3.38
Cd 0.5000 0.5000 0.5000  8 Nd 3.38, 4 Cd 3.64
Ir 0.5000 0.5000 0.0000  8 Nd 3.07